Entry 1:
Material: YHo2PaCo2
Method: DFT, PBE
State: optimized geometry

Values from the calculation:
total moment	0.000	μB per cell
D(E_F)	13.091	states/eV per cell
calculated formation energy	-17.80	kJ per mole of atoms
space-group type	Ibam, No. 72
raw total energy	-6.739	eV/atom

a = 7.906 Å, b = 7.906 Å, c = 7.906 Å
α = 128.65°, β = 74.69°, γ = 129.75°
Sites, in units of the cell vectors:
Y  0.250  0.250  0.000
Y  0.750  0.750  0.000
Ho  0.203  0.696  0.899
Ho  0.297  0.196  0.493
Ho  0.703  0.804  0.507
Ho  0.797  0.304  0.101
Pa  0.250  0.750  0.500
Pa  0.750  0.250  0.500
Co  0.091  0.297  0.388
Co  0.409  0.797  0.206
Co  0.591  0.203  0.794
Co  0.909  0.703  0.612


Entry 2:
Material: Y2HoPaCo2
Method: DFT, PBE
State: optimized geometry

Values from the calculation:
total moment	0.000	μB per cell
D(E_F)	12.838	states/eV per cell
calculated formation energy	-19.30	kJ per mole of atoms
space-group type	Ibam, No. 72
raw total energy	-7.069	eV/atom

a = 7.921 Å, b = 7.921 Å, c = 7.921 Å
α = 129.01°, β = 74.38°, γ = 129.78°
Sites, in units of the cell vectors:
Y  0.201  0.205  0.406
Y  0.299  0.705  0.005
Y  0.701  0.295  0.995
Y  0.799  0.795  0.594
Ho  0.250  0.750  0.500
Ho  0.750  0.250  0.500
Pa  0.250  0.250  0.000
Pa  0.750  0.750  0.000
Co  0.088  0.793  0.881
Co  0.412  0.293  0.705
Co  0.588  0.707  0.295
Co  0.912  0.207  0.119


Entry 3:
Material: Ho6CoPb
Method: DFT, PBE
State: optimized geometry

Values from the calculation:
total moment	0.001	μB per cell
D(E_F)	10.754	states/eV per cell
calculated formation energy	-0.53	kJ per mole of atoms
space-group type	P-1, No. 2
raw total energy	-4.791	eV/atom

a = 6.730 Å, b = 6.741 Å, c = 7.507 Å
α = 90.11°, β = 116.50°, γ = 119.94°
Sites, in units of the cell vectors:
Ho  0.059  0.090  0.267
Ho  0.298  0.708  0.267
Ho  0.322  0.531  0.733
Ho  0.678  0.469  0.267
Ho  0.702  0.292  0.733
Ho  0.941  0.910  0.733
Co  0.500  0.500  0.500
Pb  0.500  0.000  0.000


Entry 4:
Material: Ho3CoPb
Method: DFT, PBE
State: optimized geometry

Values from the calculation:
total moment	0.000	μB per cell
D(E_F)	4.686	states/eV per cell
calculated formation energy	-24.91	kJ per mole of atoms
space-group type	Pm-3m, No. 221
energy relative to the lowest polymorph listed for this composition	1.63	kcal/mol of atoms
raw total energy	-5.168	eV/atom

a = 5.123 Å, b = 5.123 Å, c = 5.123 Å
α = 90.00°, β = 90.00°, γ = 90.00°
Sites, in units of the cell vectors:
Ho  0.000  0.000  0.500
Ho  0.000  0.500  0.000
Ho  0.500  0.000  0.000
Co  0.000  0.000  0.000
Pb  0.500  0.500  0.500


Entry 5:
Material: Ho2CoPb
Method: DFT, PBE
State: optimized geometry

Values from the calculation:
total moment	0.552	μB per cell
D(E_F)	2.345	states/eV per cell
calculated formation energy	-30.32	kJ per mole of atoms
space-group type	P4/mmm, No. 123
energy relative to the lowest polymorph listed for this composition	0.00	kcal/mol of atoms
raw total energy	-5.307	eV/atom

a = 3.400 Å, b = 3.400 Å, c = 8.083 Å
α = 90.00°, β = 90.00°, γ = 90.00°
Sites, in units of the cell vectors:
Ho  0.000  0.000  0.200
Ho  0.000  0.000  0.800
Co  0.500  0.500  0.000
Pb  0.500  0.500  0.500


Entry 6:
Material: Ho4CoPb
Method: DFT, PBE
State: optimized geometry

Values from the calculation:
total moment	0.683	μB per cell
D(E_F)	10.212	states/eV per cell
calculated formation energy	-29.74	kJ per mole of atoms
space-group type	C2/m, No. 12
energy relative to the lowest polymorph listed for this composition	0.00	kcal/mol of atoms
raw total energy	-5.162	eV/atom

a = 8.870 Å, b = 8.870 Å, c = 5.841 Å
α = 109.15°, β = 109.15°, γ = 47.33°
Sites, in units of the cell vectors:
Ho  0.142  0.628  0.386
Ho  0.214  0.786  0.000
Ho  0.324  0.324  0.825
Ho  0.372  0.858  0.614
Ho  0.628  0.142  0.386
Ho  0.676  0.676  0.175
Ho  0.786  0.214  0.000
Ho  0.858  0.372  0.614
Co  0.500  0.500  0.266
Co  0.500  0.500  0.734
Pb  0.196  0.196  0.196
Pb  0.804  0.804  0.804


Entry 7:
Material: Ho12Co5Pb
Method: DFT, PBE
State: optimized geometry

Values from the calculation:
total moment	0.002	μB per cell
D(E_F)	11.997	states/eV per cell
calculated formation energy	-26.18	kJ per mole of atoms
space-group type	Immm, No. 71
raw total energy	-5.503	eV/atom

a = 8.256 Å, b = 8.256 Å, c = 8.256 Å
α = 110.91°, β = 110.66°, γ = 106.88°
Sites, in units of the cell vectors:
Ho  0.014  0.207  0.807
Ho  0.185  0.291  0.476
Ho  0.185  0.709  0.894
Ho  0.313  0.006  0.693
Ho  0.313  0.620  0.307
Ho  0.401  0.207  0.193
Ho  0.599  0.793  0.807
Ho  0.687  0.380  0.693
Ho  0.687  0.994  0.307
Ho  0.815  0.291  0.106
Ho  0.815  0.709  0.524
Ho  0.986  0.793  0.193
Co  0.000  0.000  0.000
Co  0.112  0.612  0.500
Co  0.378  0.000  0.378
Co  0.622  0.000  0.622
Co  0.888  0.388  0.500
Pb  0.500  0.500  0.000


Entry 8:
Material: Ho5CoPb2
Method: DFT, PBE
State: optimized geometry

Values from the calculation:
total moment	0.001	μB per cell
D(E_F)	12.989	states/eV per cell
calculated formation energy	1.62	kJ per mole of atoms
space-group type	Cmcm, No. 63
raw total energy	-4.660	eV/atom

a = 8.743 Å, b = 8.743 Å, c = 12.448 Å
α = 90.00°, β = 90.00°, γ = 144.96°
Sites, in units of the cell vectors:
Ho  0.084  0.916  0.609
Ho  0.084  0.916  0.891
Ho  0.287  0.713  0.250
Ho  0.297  0.703  0.576
Ho  0.297  0.703  0.924
Ho  0.703  0.297  0.076
Ho  0.703  0.297  0.424
Ho  0.713  0.287  0.750
Ho  0.916  0.084  0.109
Ho  0.916  0.084  0.391
Co  0.197  0.803  0.750
Co  0.803  0.197  0.250
Pb  0.107  0.893  0.129
Pb  0.107  0.893  0.371
Pb  0.893  0.107  0.629
Pb  0.893  0.107  0.871


Entry 9:
Material: Ho5CoPb4
Method: DFT, PBE
State: optimized geometry

Values from the calculation:
total moment	0.000	μB per cell
D(E_F)	8.502	states/eV per cell
calculated formation energy	-25.52	kJ per mole of atoms
space-group type	I4/mmm, No. 139
raw total energy	-4.747	eV/atom

a = 7.672 Å, b = 7.672 Å, c = 7.672 Å
α = 97.17°, β = 97.17°, γ = 138.63°
Sites, in units of the cell vectors:
Ho  0.000  0.000  0.000
Ho  0.323  0.323  0.646
Ho  0.323  0.677  0.000
Ho  0.677  0.323  0.000
Ho  0.677  0.677  0.354
Co  0.500  0.500  0.000
Pb  0.000  0.324  0.324
Pb  0.000  0.676  0.676
Pb  0.324  0.000  0.324
Pb  0.676  0.000  0.676


Entry 10:
Material: Ho12Co6Pb
Method: DFT, PBE
State: optimized geometry

Values from the calculation:
total moment	0.000	μB per cell
D(E_F)	9.122	states/eV per cell
calculated formation energy	-27.02	kJ per mole of atoms
space-group type	Im-3, No. 204
raw total energy	-5.610	eV/atom

a = 8.340 Å, b = 8.340 Å, c = 8.340 Å
α = 109.47°, β = 109.47°, γ = 109.47°
Sites, in units of the cell vectors:
Ho  0.109  0.304  0.805
Ho  0.195  0.499  0.304
Ho  0.195  0.891  0.696
Ho  0.304  0.195  0.499
Ho  0.304  0.805  0.109
Ho  0.499  0.304  0.195
Ho  0.501  0.696  0.805
Ho  0.696  0.195  0.891
Ho  0.696  0.805  0.501
Ho  0.805  0.109  0.304
Ho  0.805  0.501  0.696
Ho  0.891  0.696  0.195
Co  0.113  0.500  0.613
Co  0.387  0.887  0.500
Co  0.500  0.387  0.887
Co  0.500  0.613  0.113
Co  0.613  0.113  0.500
Co  0.887  0.500  0.387
Pb  0.000  0.000  0.000


Entry 11:
Material: Ho3CoPb
Method: DFT, PBE
State: optimized geometry

Values from the calculation:
total moment	0.001	μB per cell
D(E_F)	10.566	states/eV per cell
calculated formation energy	-31.71	kJ per mole of atoms
space-group type	P2_1/m, No. 11
energy relative to the lowest polymorph listed for this composition	0.00	kcal/mol of atoms
raw total energy	-5.238	eV/atom

a = 7.850 Å, b = 4.348 Å, c = 8.308 Å
α = 90.00°, β = 114.83°, γ = 90.00°
Sites, in units of the cell vectors:
Ho  0.042  0.250  0.244
Ho  0.323  0.750  0.590
Ho  0.326  0.250  0.913
Ho  0.674  0.750  0.087
Ho  0.677  0.250  0.410
Ho  0.958  0.750  0.756
Co  0.063  0.250  0.581
Co  0.937  0.750  0.419
Pb  0.326  0.750  0.201
Pb  0.674  0.250  0.799


Entry 12:
Material: Ho7Co2Pb2
Method: DFT, PBE
State: optimized geometry

Values from the calculation:
total moment	0.000	μB per cell
D(E_F)	8.102	states/eV per cell
calculated formation energy	-18.95	kJ per mole of atoms
space-group type	Cmmm, No. 65
raw total energy	-5.076	eV/atom

a = 6.725 Å, b = 6.725 Å, c = 7.116 Å
α = 90.00°, β = 90.00°, γ = 107.71°
Sites, in units of the cell vectors:
Ho  0.000  0.000  0.000
Ho  0.000  0.500  0.235
Ho  0.000  0.500  0.765
Ho  0.500  0.000  0.235
Ho  0.500  0.000  0.765
Ho  0.500  0.500  0.220
Ho  0.500  0.500  0.780
Co  0.287  0.713  0.000
Co  0.713  0.287  0.000
Pb  0.191  0.191  0.500
Pb  0.809  0.809  0.500


Entry 13:
Material: Ho4CoPb
Method: DFT, PBE
State: optimized geometry

Values from the calculation:
total moment	0.000	μB per cell
D(E_F)	10.608	states/eV per cell
calculated formation energy	-28.20	kJ per mole of atoms
space-group type	C2/c, No. 15
energy relative to the lowest polymorph listed for this composition	0.37	kcal/mol of atoms
raw total energy	-5.147	eV/atom

a = 7.881 Å, b = 7.881 Å, c = 5.972 Å
α = 100.79°, β = 100.79°, γ = 112.47°
Sites, in units of the cell vectors:
Ho  0.053  0.730  0.946
Ho  0.205  0.357  0.629
Ho  0.270  0.947  0.554
Ho  0.357  0.205  0.129
Ho  0.643  0.795  0.871
Ho  0.730  0.053  0.446
Ho  0.795  0.643  0.371
Ho  0.947  0.270  0.054
Co  0.000  0.000  0.250
Co  0.000  0.000  0.750
Pb  0.372  0.628  0.250
Pb  0.628  0.372  0.750


Entry 14:
Material: Ho3CoPb2
Method: DFT, PBE
State: optimized geometry

Values from the calculation:
total moment	0.000	μB per cell
D(E_F)	5.072	states/eV per cell
calculated formation energy	-25.17	kJ per mole of atoms
space-group type	C2/c, No. 15
raw total energy	-4.970	eV/atom

a = 6.965 Å, b = 6.965 Å, c = 8.608 Å
α = 107.59°, β = 107.59°, γ = 52.79°
Sites, in units of the cell vectors:
Ho  0.190  0.810  0.750
Ho  0.238  0.453  0.369
Ho  0.453  0.238  0.869
Ho  0.547  0.762  0.131
Ho  0.762  0.547  0.631
Ho  0.810  0.190  0.250
Co  0.370  0.630  0.250
Co  0.630  0.370  0.750
Pb  0.016  0.269  0.007
Pb  0.269  0.016  0.507
Pb  0.731  0.984  0.493
Pb  0.984  0.731  0.993


Entry 15:
Material: Ho7Co2Pb
Method: DFT, PBE
State: optimized geometry

Values from the calculation:
total moment	0.000	μB per cell
D(E_F)	8.099	states/eV per cell
calculated formation energy	-7.34	kJ per mole of atoms
space-group type	Cmmm, No. 65
raw total energy	-5.073	eV/atom

a = 8.024 Å, b = 8.024 Å, c = 4.919 Å
α = 90.00°, β = 90.00°, γ = 113.14°
Sites, in units of the cell vectors:
Ho  0.000  0.000  0.000
Ho  0.181  0.447  0.000
Ho  0.207  0.793  0.500
Ho  0.447  0.181  0.000
Ho  0.553  0.819  0.000
Ho  0.793  0.207  0.500
Ho  0.819  0.553  0.000
Co  0.203  0.797  0.000
Co  0.797  0.203  0.000
Pb  0.500  0.500  0.500


Entry 16:
Material: HoCoPb
Method: DFT, PBE
State: optimized geometry

Values from the calculation:
total moment	0.986	μB per cell
D(E_F)	4.317	states/eV per cell
calculated formation energy	-12.77	kJ per mole of atoms
space-group type	F-43m, No. 216
raw total energy	-5.263	eV/atom

a = 4.582 Å, b = 4.582 Å, c = 4.582 Å
α = 60.00°, β = 60.00°, γ = 60.00°
Sites, in units of the cell vectors:
Ho  0.000  0.000  0.000
Co  0.750  0.750  0.750
Pb  0.500  0.500  0.500


Entry 17:
Material: Ho2CoPb
Method: DFT, PBE
State: optimized geometry

Values from the calculation:
total moment	0.000	μB per cell
D(E_F)	2.543	states/eV per cell
calculated formation energy	-21.43	kJ per mole of atoms
space-group type	R-3m, No. 166
energy relative to the lowest polymorph listed for this composition	2.12	kcal/mol of atoms
raw total energy	-5.215	eV/atom

a = 8.806 Å, b = 8.806 Å, c = 8.806 Å
α = 24.21°, β = 24.21°, γ = 24.21°
Sites, in units of the cell vectors:
Ho  0.228  0.228  0.228
Ho  0.772  0.772  0.772
Co  0.500  0.500  0.500
Pb  0.000  0.000  0.000


Entry 18:
Material: HoCoRhPb
Method: DFT, PBE
State: optimized geometry

Values from the calculation:
total moment	1.059	μB per cell
D(E_F)	1.853	states/eV per cell
calculated formation energy	-27.55	kJ per mole of atoms
space-group type	F-43m, No. 216
raw total energy	-5.971	eV/atom

a = 4.691 Å, b = 4.691 Å, c = 4.691 Å
α = 60.00°, β = 60.00°, γ = 60.00°
Sites, in units of the cell vectors:
Ho  0.000  0.000  0.000
Co  0.250  0.250  0.250
Rh  0.750  0.750  0.750
Pb  0.500  0.500  0.500


Entry 19:
Material: Ho7Co2Pd2
Method: DFT, PBE
State: optimized geometry

Values from the calculation:
total moment	0.001	μB per cell
D(E_F)	10.882	states/eV per cell
calculated formation energy	-39.98	kJ per mole of atoms
space-group type	Imm2, No. 44
energy relative to the lowest polymorph listed for this composition	0.00	kcal/mol of atoms
raw total energy	-5.564	eV/atom

a = 9.051 Å, b = 9.051 Å, c = 9.051 Å
α = 156.29°, β = 67.07°, γ = 118.29°
Sites, in units of the cell vectors:
Ho  0.000  0.000  0.000
Ho  0.083  0.393  0.690
Ho  0.113  0.750  0.363
Ho  0.386  0.750  0.637
Ho  0.477  0.596  0.881
Ho  0.703  0.393  0.310
Ho  0.714  0.596  0.119
Co  0.340  0.097  0.243
Co  0.854  0.097  0.757
Pd  0.341  0.341  0.000
Pd  0.765  0.265  0.500


Entry 20:
Material: Ho4CoPd
Method: DFT, PBE
State: optimized geometry

Values from the calculation:
total moment	0.000	μB per cell
D(E_F)	14.782	states/eV per cell
calculated formation energy	-36.91	kJ per mole of atoms
space-group type	C2/c, No. 15
energy relative to the lowest polymorph listed for this composition	0.00	kcal/mol of atoms
raw total energy	-5.484	eV/atom

a = 7.870 Å, b = 7.870 Å, c = 6.088 Å
α = 107.22°, β = 107.22°, γ = 112.50°
Sites, in units of the cell vectors:
Ho  0.055  0.700  0.904
Ho  0.226  0.351  0.712
Ho  0.300  0.945  0.596
Ho  0.351  0.226  0.212
Ho  0.649  0.774  0.788
Ho  0.700  0.055  0.404
Ho  0.774  0.649  0.288
Ho  0.945  0.300  0.096
Co  0.002  0.998  0.250
Co  0.998  0.002  0.750
Pd  0.365  0.635  0.250
Pd  0.635  0.365  0.750